! AcLa9Sn2 | Alexandria | PBE | relaxed; values from VASP
! Uncorrected energy = -5.0099 eV per atom
! Total magnetization = 0.000 Bohr magnetons per cell
! Mass density = 7.0 g/cm³
! Space-group type = No. 123
! Formation energy = -305 meV/atom
&SYSTEM
  ibrav = 0, nat = 12, ntyp = 3
/
ATOMIC_SPECIES
La 138.91 La.upf
Sn 118.71 Sn.upf
Ac 227.00 Ac.upf
ATOMIC_POSITIONS angstrom
La 2.553 0.000 2.808
La 0.000 2.553 2.808
La 2.553 2.553 10.270
La 2.553 0.000 12.807
La 0.000 2.553 12.807
La 2.553 2.553 5.344
La 0.000 2.553 7.807
La 2.553 0.000 7.807
La 2.553 2.553 0.000
Sn 0.000 0.000 10.320
Sn 0.000 0.000 5.295
Ac 0.000 0.000 0.000
CELL_PARAMETERS angstrom
5.106 0.000 0.000
0.000 5.106 0.000
0.000 0.000 15.615